KReSi2: relaxed, GGA-PBE.

## Properties
* offset from the most stable computed form: 267.3 meV per atom
* DFT total energy: -5.755 eV per atom
* DOS at the Fermi energy: 1.9 states/eV per cell
* space-group type: No. 99
* E_form (uncorrected): 0.343 eV/atom

a b c (Å): 3.261 3.261 7.784
angles (deg): 90.00 90.00 90.00
Atoms (fractional coordinates):
Si: 0.500 0.500 0.166
Si: 0.000 0.000 0.970
K: 0.000 0.000 0.499
Re: 0.500 0.500 0.865